## HfVGe2O8 (PBE with a Hubbard U)

Data for HfVGe2O8 after structural relaxation.

Cell lengths 5.618, 5.618, 5.618 Å; angles 107.88, 107.88, 112.71 degrees
Fractional coordinates of all 12 atoms:
Hf 0.000 0.000 0.000
V 0.250 0.750 0.500
Ge 0.500 0.500 0.000
Ge 0.750 0.250 0.500
O 0.301 0.111 0.810
O 0.301 0.491 0.190
O 0.363 0.045 0.317
O 0.509 0.699 0.810
O 0.728 0.045 0.683
O 0.889 0.699 0.190
O 0.955 0.272 0.317
O 0.955 0.637 0.683

Output
Total moment   1.000 μB/cell
DOS(E_F)   0.0 states/eV/cell
Uncorrected energy   -7.59 eV/atom